# 1
TeRuCl2 | PBE | relaxed

ΔE_f (raw) ... -13.1 kJ per mole of atoms
Relative energy among the computed polymorphs ... 183 meV/atom

Lattice parameters (Å, degrees): 3.7808 3.7808 24.4057 90.00 90.00 120.00
Space group R3m (No. 160, hexagonal axes)
Inequivalent atoms, fractional coordinates:
Te 0.0000 0.0000 0.0000 [3 per cell]
Ru 0.0000 0.0000 0.2815 [3 per cell]
Cl 0.0000 0.0000 0.5555 [3 per cell]
Cl 0.0000 0.0000 0.7523 [3 per cell]

# 2
TeRuCl2 | PBE | relaxed

ΔE_f (raw) ... 44.2 kJ per mole of atoms
Relative energy among the computed polymorphs ... 777 meV/atom

Lattice parameters (Å, degrees): 6.6985 6.6985 6.6985 90.00 90.00 90.00
Space group F-43m (No. 216)
Inequivalent atoms, fractional coordinates:
Te 0.0000 0.0000 0.0000 [4 per cell]
Ru 0.2500 0.2500 0.2500 [4 per cell]
Cl 0.0000 0.0000 0.5000 [4 per cell]
Cl 0.2500 0.2500 0.7500 [4 per cell]